Model i:
DFT (PBE) results for an optimized crystal structure of MgScSe2Br.

a = 5.097 Å, b = 5.097 Å, c = 4.874 Å
α = 90.00°, β = 90.00°, γ = 90.00°
Sites, in units of the cell vectors:
1 Sc 0.500 0.500 0.500
2 Br 0.000 0.000 0.500
3 Se 0.000 0.500 0.000
4 Se 0.500 0.000 0.000
5 Mg 0.000 0.000 0.000

Values from the calculation:
N(E_F)   0.97 states/eV per cell
Space group   P4/mmm, No. 123


Model ii:
DFT (PBE) results for an optimized crystal structure of MgScSe2Br.

a = 5.219 Å, b = 5.219 Å, c = 5.144 Å
α = 90.00°, β = 90.00°, γ = 90.00°
Sites, in units of the cell vectors:
1 Se 0.000 0.500 0.000
2 Se 0.500 0.000 0.000
3 Sc 0.000 0.000 0.000
4 Mg 0.500 0.500 0.500
5 Br 0.000 0.000 0.500

Values from the calculation:
N(E_F)   1.91 states/eV per cell
Space group   P4/mmm, No. 123


Name the most stable of them. model ii.